! Os2PtPb (PBE-GGA, optimized geometry); values from VASP
&SYSTEM
  ibrav = 0, nat = 4, ntyp = 3
/
ATOMIC_SPECIES
Os 190.23 Os.upf
Pt 195.08 Pt.upf
Pb 207.20 Pb.upf
CELL_PARAMETERS angstrom
4.5743 0.0000 0.0000
0.0000 4.5743 0.0000
0.0000 0.0000 3.1998
ATOMIC_POSITIONS crystal
Os 0.0000 0.5000 0.0000
Os 0.5000 0.0000 0.0000
Pt 0.0000 0.0000 0.5000
Pb 0.5000 0.5000 0.5000
! E_tot: -7.221 eV/atom
! ΔE_f: 831.0 meV per atom
! calculated volume: 16.74 Å³ per atom

---

! Os2PtPb (PBE-GGA, optimized geometry); values from VASP
&SYSTEM
  ibrav = 0, nat = 4, ntyp = 3
/
ATOMIC_SPECIES
Os 190.23 Os.upf
Pt 195.08 Pt.upf
Pb 207.20 Pb.upf
CELL_PARAMETERS angstrom
1.4273 -2.4733 0.0000
1.4273 2.4733 0.0000
0.0000 0.0000 10.0796
ATOMIC_POSITIONS crystal
Os 0.0000 0.0000 0.2269
Os 0.0000 0.0000 0.7731
Pt 0.5000 0.5000 0.0000
Pb 0.5000 0.5000 0.5000
! E_tot: -6.971 eV/atom
! ΔE_f: 1081.0 meV per atom
! calculated volume: 17.79 Å³ per atom

---

! OsPtPb (PBE-GGA, optimized geometry); values from VASP
&SYSTEM
  ibrav = 0, nat = 3, ntyp = 3
/
ATOMIC_SPECIES
Os 190.23 Os.upf
Pt 195.08 Pt.upf
Pb 207.20 Pb.upf
CELL_PARAMETERS angstrom
3.0865 0.0000 0.0000
-1.5432 2.6730 0.0000
0.0000 0.0000 6.7181
ATOMIC_POSITIONS crystal
Os 0.0000 0.0000 0.0000
Pt 0.6667 0.3333 0.7023
Pb 0.3333 0.6667 0.3428
! energy above the most stable polymorph in this dataset: 19 kJ/mol of formula units
! E_tot: -6.250 eV/atom
! ΔE_f: 742.7 meV per atom
! calculated volume: 18.48 Å³ per atom

---

! Os2PtPb (PBE-GGA, optimized geometry); values from VASP
&SYSTEM
  ibrav = 0, nat = 4, ntyp = 3
/
ATOMIC_SPECIES
Os 190.23 Os.upf
Pt 195.08 Pt.upf
Pb 207.20 Pb.upf
CELL_PARAMETERS angstrom
1.4522 0.8384 9.5905
-1.4522 0.8384 9.5905
0.0000 -1.6768 9.5905
ATOMIC_POSITIONS crystal
Os 0.0000 0.0000 0.0000
Os 0.2647 0.2647 0.2647
Pt 0.7459 0.7459 0.7459
Pb 0.5050 0.5050 0.5050
! E_tot: -7.494 eV/atom
! ΔE_f: 558.4 meV per atom
! calculated volume: 17.51 Å³ per atom